Compound: La2ReI
Source: the Alexandria database
Functional: GGA-PBEsol
Structure: relaxed

Lattice parameters (Å, degrees): 5.2709 5.2709 5.2709 60.00 60.00 60.00
Sites, in units of the cell vectors:
1 La 0.7500 0.7500 0.7500
2 La 0.2500 0.2500 0.2500
3 Re 0.5000 0.5000 0.5000
4 I 0.0000 0.0000 0.0000

***

Compound: LaScRe2I
Source: the Alexandria database
Functional: GGA-PBEsol
Structure: relaxed

Lattice parameters (Å, degrees): 4.8656 4.8656 5.5064 90.00 90.00 90.00
Sites, in units of the cell vectors:
1 Sc 0.5000 0.5000 0.5000
2 I 0.0000 0.0000 0.0000
3 Re 0.0000 0.5000 0.0000
4 Re 0.5000 0.0000 0.0000
5 La 0.0000 0.0000 0.5000

***

Compound: LaTe2RhI
Source: the Alexandria database
Functional: GGA-PBEsol
Structure: relaxed

Lattice parameters (Å, degrees): 5.1879 5.2245 5.2245 90.00 90.00 90.00
Sites, in units of the cell vectors:
1 Te 0.0000 0.0000 0.5000
2 Te 0.0000 0.5000 0.0000
3 La 0.5000 0.5000 0.5000
4 I 0.5000 0.0000 0.0000
5 Rh 0.0000 0.0000 0.0000

***

Compound: La2ZnRhI
Source: the Alexandria database
Functional: GGA-PBEsol
Structure: relaxed

Lattice parameters (Å, degrees): 4.8545 5.4006 5.4006 90.00 90.00 90.00
Sites, in units of the cell vectors:
1 La 0.0000 0.5000 0.0000
2 La 0.0000 0.0000 0.5000
3 Zn 0.5000 0.0000 0.0000
4 I 0.5000 0.5000 0.5000
5 Rh 0.0000 0.0000 0.0000

***

Compound: La3RuI3
Source: the Alexandria database
Functional: GGA-PBEsol
Structure: relaxed

Lattice parameters (Å, degrees): 4.2616 9.3087 12.3224 93.32 90.00 90.00
Sites, in units of the cell vectors:
1 La 0.7500 0.1171 0.3373
2 La 0.7500 0.6826 0.8786
3 La 0.2500 0.3174 0.1214
4 La 0.2500 0.9020 0.1069
5 La 0.2500 0.8829 0.6627
6 La 0.7500 0.0980 0.8931
7 I 0.7500 0.6239 0.6175
8 I 0.7500 0.1418 0.6185
9 I 0.2500 0.8582 0.3815
10 I 0.2500 0.3924 0.8615
11 I 0.2500 0.3761 0.3825
12 I 0.7500 0.6076 0.1385
13 Ru 0.2500 0.8860 0.8716
14 Ru 0.7500 0.1140 0.1284

***

Compound: LaRu3I
Source: the Alexandria database
Functional: GGA-PBEsol
Structure: relaxed

Lattice parameters (Å, degrees): 4.7802 4.7802 4.7802 90.00 90.00 90.00
Sites, in units of the cell vectors:
1 Ru 0.0000 0.0000 0.5000
2 Ru 0.0000 0.5000 0.0000
3 Ru 0.5000 0.0000 0.0000
4 La 0.5000 0.5000 0.5000
5 I 0.0000 0.0000 0.0000

***

Compound: La2Ru2I
Source: the Alexandria database
Functional: GGA-PBEsol
Structure: relaxed

Lattice parameters (Å, degrees): 4.2609 4.2609 17.5552 90.00 90.00 120.00
Sites, in units of the cell vectors:
1 La 0.0000 0.0000 0.3923
2 La 0.0000 0.0000 0.1077
3 La 0.0000 0.0000 0.8923
4 La 0.0000 0.0000 0.6077
5 Ru 0.6667 0.3333 0.5001
6 Ru 0.3333 0.6667 0.0001
7 Ru 0.3333 0.6667 0.4999
8 Ru 0.6667 0.3333 0.9999
9 I 0.6667 0.3333 0.7500
10 I 0.3333 0.6667 0.2500

***

Compound: LaTeRuI2
Source: the Alexandria database
Functional: GGA-PBEsol
Structure: relaxed

Lattice parameters (Å, degrees): 6.0721 6.0721 6.1545 90.00 90.00 90.00
Last column: magnetic moment on the atom in μB.
Sites, in units of the cell vectors:
1 Te 0.0000 0.0000 0.5000  0.00
2 La 0.0000 0.0000 0.0000  0.00
3 I 0.0000 0.5000 0.0000  0.01
4 I 0.5000 0.0000 0.0000  0.01
5 Ru 0.5000 0.5000 0.5000  2.70

***

| no. | ΔE_f (raw) (eV/atom) | theoretical density (g/cm3) |
| --- | --- | --- |
| 1 | 0.13 | 9.5 |
| 2 | 1.75 | 8.7 |
| 3 | -0.58 | 7.3 |
| 4 | -0.62 | 6.7 |
| 5 | -1.07 | 6.1 |
| 6 | 1.03 | 8.7 |
| 7 | -0.55 | 7.3 |
| 8 | 0.56 | 4.5 |